VASP calculation (PBE-GGA) on a geometry-optimized PmHfZnTc structure.

abc: 4.850 4.850 4.850
angles: 60.00 60.00 60.00
Fractional coordinates of all 4 atoms:
Hf1 0.250 0.250 0.250
Zn1 0.500 0.500 0.500
Tc1 0.000 0.000 0.000
Pm1 0.750 0.750 0.750

Computed properties:
ρ = 10020 kg/m³
ΔH_f (0 K) = -0.079 eV/atom
E_tot = -0.2449 Ha/atom
Fermi-level density of states = 1.00 states/eV/atom